Entry 1:
{"formula": "Rb4Bi2O5", "functional": "PBE-GGA", "state": "relaxed", "n_ef_per_ev_fu": 0.00, "e_form_raw_ev_per_atom": -1.307, "volume_a3_per_atom": 26.64, "spacegroup": "Cm (8)", "lattice": [[6.195, -0.010, 0.719], [2.328, 5.741, 0.719], [0.060, 0.040, 8.245]], "species": ["Rb", "Rb", "Rb", "Rb", "O", "O", "O", "O", "O", "Bi", "Bi"], "fractional_positions": [[0.003, 0.003, 0.511], [0.335, 0.335, 0.143], [0.664, 0.664, 0.872], [0.992, 0.992, 0.014], [0.669, 0.210, 0.780], [0.432, 0.432, 0.438], [0.855, 0.402, 0.181], [0.210, 0.669, 0.780], [0.402, 0.855, 0.181], [0.638, 0.638, 0.340], [0.344, 0.344, 0.690]]}

Entry 2:
{"formula": "BaOsSe2", "functional": "PBE-GGA", "state": "relaxed", "n_ef_per_ev_fu": 4.04, "e_form_raw_ev_per_atom": 0.158, "polymorph_energy_mev_per_atom": 791, "volume_a3_per_atom": 21.84, "spacegroup": "P4/mmm (123)", "lattice": [[3.389, 0.000, 0.000], [0.000, 3.389, 0.000], [0.000, 0.000, 7.608]], "species": ["Se", "Se", "Os", "Ba"], "fractional_positions": [[0.000, 0.000, 0.941], [0.000, 0.000, 0.559], [0.500, 0.500, 0.750], [0.500, 0.500, 0.250]]}